No. 1
A plane-wave DFT calculation with PBE-GGA was carried out for an optimized crystal structure of CeTmRhAu.

Cell: 5.0042 5.0042 5.0042 Å, 60.00 60.00 60.00°
Site moments in Bohr magnetons follow the coordinates.
Atoms (fractional coordinates):
Au (0.0000, 0.0000, 0.0000)  0.00
Rh (0.5000, 0.5000, 0.5000)  -0.04
Tm (0.2500, 0.2500, 0.2500)  0.02
Ce (0.7500, 0.7500, 0.7500)  0.54

Output
formation enthalpy at 0 K: -0.72 eV/atom
total moment: 0.146 μB/atom
VASP energy: -5.978 eV/atom
crystal system: cubic
volume: 22.15 A^3/atom



No. 2
A plane-wave DFT calculation with PBE-GGA was carried out for an optimized crystal structure of CeYRhAu.

Cell: 5.0415 5.0415 5.0415 Å, 60.00 60.00 60.00°
Site moments in Bohr magnetons follow the coordinates.
Atoms (fractional coordinates):
Y (0.7500, 0.7500, 0.7500)  0.02
Au (0.0000, 0.0000, 0.0000)  0.00
Ce (0.2500, 0.2500, 0.2500)  0.58
Rh (0.5000, 0.5000, 0.5000)  -0.05

Output
formation enthalpy at 0 K: -0.69 eV/atom
total moment: 0.161 μB/atom
VASP energy: -6.446 eV/atom
crystal system: cubic
volume: 22.65 A^3/atom



No. 3
A plane-wave DFT calculation with PBE-GGA was carried out for an optimized crystal structure of CeZrRhAu.

Cell: 4.9228 4.9228 4.9228 Å, 60.00 60.00 60.00°
Site moments in Bohr magnetons follow the coordinates.
Atoms (fractional coordinates):
Rh (0.5000, 0.5000, 0.5000)  -0.05
Zr (0.2500, 0.2500, 0.2500)  0.15
Ce (0.7500, 0.7500, 0.7500)  0.57
Au (0.0000, 0.0000, 0.0000)  0.01

Output
formation enthalpy at 0 K: -0.49 eV/atom
total moment: 0.211 μB/atom
VASP energy: -6.771 eV/atom
crystal system: cubic
volume: 21.09 A^3/atom



No. 4
A plane-wave DFT calculation with PBE-GGA was carried out for an optimized crystal structure of Ce6Ru2Au.

Cell: 5.3579 5.7749 8.9213 Å, 119.97 90.00 117.64°
Site moments in Bohr magnetons follow the coordinates.
Atoms (fractional coordinates):
Ce (0.6510, 0.3020, 0.5046)  0.32
Ce (0.6608, 0.3216, 0.1514)  0.00
Ce (0.3490, 0.6980, 0.4954)  0.32
Ce (0.9918, 0.9836, 0.1522)  0.01
Ce (0.3392, 0.6784, 0.8486)  0.00
Ce (0.0082, 0.0164, 0.8478)  0.01
Ru (0.6772, 0.3545, 0.8506)  -0.02
Ru (0.3228, 0.6455, 0.1494)  -0.02
Au (0.0000, 0.0000, 0.5000)  0.00

Output
formation enthalpy at 0 K: -0.28 eV/atom
total moment: 0.078 μB/atom
energy relative to the lowest polymorph listed for this composition: 97 meV per atom
VASP energy: -6.661 eV/atom
crystal system: monoclinic
volume: 22.44 A^3/atom



No. 5
A plane-wave DFT calculation with PBE-GGA was carried out for an optimized crystal structure of Ce4RuAu2.

Cell: 3.8676 7.0943 7.7112 Å, 107.92 90.00 90.00°
Site moments in Bohr magnetons follow the coordinates.
Atoms (fractional coordinates):
Ce (0.0000, 0.4690, 0.2945)  0.87
Ce (0.5000, 0.1663, 0.8597)  0.66
Ce (0.5000, 0.9765, 0.2832)  0.66
Ce (0.0000, 0.6738, 0.8483)  0.87
Au (0.5000, 0.7719, 0.5678)  0.01
Au (0.5000, 0.3709, 0.5751)  0.01
Ru (0.0000, 0.0714, 0.0715)  -0.12

Output
formation enthalpy at 0 K: -0.31 eV/atom
total moment: 0.543 μB/atom
energy relative to the lowest polymorph listed for this composition: 43 meV per atom
VASP energy: -5.961 eV/atom
crystal system: monoclinic
volume: 28.76 A^3/atom



No. 6
A plane-wave DFT calculation with PBE-GGA was carried out for an optimized crystal structure of Ce7Ru2Au.

Cell: 5.0389 7.8707 7.8707 Å, 110.19 90.00 90.00°
Site moments in Bohr magnetons follow the coordinates.
Atoms (fractional coordinates):
Ru (0.5000, 0.3084, 0.6916)  -0.05
Ru (0.5000, 0.6916, 0.3084)  -0.05
Ce (0.5000, 0.5000, 0.5000)  0.14
Ce (0.0000, 0.7294, 0.2706)  0.41
Ce (0.0000, 0.2706, 0.7294)  0.41
Ce (0.5000, 0.9333, 0.7184)  0.53
Ce (0.5000, 0.0667, 0.2816)  0.53
Ce (0.5000, 0.7184, 0.9333)  0.53
Ce (0.5000, 0.2816, 0.0667)  0.53
Au (0.0000, 0.0000, 0.0000)  0.01

Output
formation enthalpy at 0 K: -0.07 eV/atom
total moment: 0.361 μB/atom
VASP energy: -6.403 eV/atom
crystal system: orthorhombic
volume: 29.30 A^3/atom



total moment of number 6 (Ce7Ru2Au)? 0.361 μB/atom



Among the records above, which one has the highest total moment? Ce4RuAu2



Look up the formation enthalpy at 0 K of the third one. -0.49 eV/atom



The lowest formation enthalpy at 0 K belongs to which entry? CeTmRhAu